# TaInRu GGA-PBEsol optimized geometry
data_TaInRu
_chemical_formula_sum 'Ta2 In2 Ru2'
_symmetry_space_group_name_H-M 'I 4 m m'
_symmetry_Int_Tables_number 107
_symmetry_space_group_name_Hall 'I 4 -2'
_cell_length_a 3.067
_cell_length_b 3.067
_cell_length_c 10.889
_cell_angle_alpha 90.00
_cell_angle_beta 90.00
_cell_angle_gamma 90.00
loop_
_atom_site_label
_atom_site_type_symbol
_atom_site_fract_x
_atom_site_fract_y
_atom_site_fract_z
Ta1 Ta 0.000 0.000 0.000
In1 In 0.000 0.000 0.694
Ru1 Ru 0.000 0.000 0.365
# Total magnetization in μB per atom: 0.00
# Calculated total energy in eV/atom: -8.6732